# 1
This record from Alexandria via LeMat-Bulk describes a relaxed VTeIO2 crystal. The functional is GGA+U.

Cell and atoms, written as POSCAR:
```
VTeIO2
1.0
4.024 0.000 0.000
0.000 4.024 0.000
0.000 0.000 6.180
O I Te V
2 1 1 1
Direct
0.500 0.000 0.000
0.000 0.500 0.000
0.000 0.000 0.500
0.500 0.500 0.500
0.000 0.000 0.000
```

Computed properties:
V in Å³ per atom: 20.02
Size of the total moment in μB/atom: 0.19
Energy relative to the lowest polymorph listed for this composition in eV/atom: 0.000
Uncorrected energy in eV per atom: -4.72



# 2
This record from Alexandria via LeMat-Bulk describes a relaxed VTeI2O crystal. The functional is GGA+U.

Cell and atoms, written as POSCAR:
```
VTeI2O
1.0
-5.422 -2.762 -1.111
1.911 -4.999 3.102
-1.503 1.565 3.447
I O V Te
2 1 1 1
Direct
0.500 0.000 0.000
0.000 0.500 0.000
0.000 0.000 0.500
0.500 0.500 0.500
0.000 0.000 0.000
```

Computed properties:
V in Å³ per atom: 31.17
Size of the total moment in μB/atom: 0.34
Energy relative to the lowest polymorph listed for this composition in eV/atom: 0.729
Uncorrected energy in eV per atom: -3.22



# 3
This record from Alexandria via LeMat-Bulk describes a relaxed VTeI2O crystal. The functional is GGA+U.

Cell and atoms, written as POSCAR:
```
VTeI2O
1.0
-4.285 -3.195 -2.408
2.456 -4.886 2.113
-1.997 0.339 3.105
V I Te O
1 2 1 1
Direct
0.000 0.000 0.000
0.000 0.500 0.000
0.500 0.000 0.000
0.500 0.500 0.500
0.000 0.000 0.500
```

Computed properties:
V in Å³ per atom: 25.48
Size of the total moment in μB/atom: 0.03
Energy relative to the lowest polymorph listed for this composition in eV/atom: 0.000
Uncorrected energy in eV per atom: -3.95



# 4
This record from Alexandria via LeMat-Bulk describes a relaxed VTeI2O crystal. The functional is GGA+U.

Cell and atoms, written as POSCAR:
```
VTeI2O
1.0
5.260 0.000 0.000
0.000 5.260 0.000
0.000 0.000 4.623
O I Te V
1 2 1 1
Direct
0.000 0.000 0.000
0.500 0.000 0.000
0.000 0.500 0.000
0.000 0.000 0.500
0.500 0.500 0.500
```

Computed properties:
V in Å³ per atom: 25.58
Size of the total moment in μB/atom: 0.10
Energy relative to the lowest polymorph listed for this composition in eV/atom: 1.263
Uncorrected energy in eV per atom: -2.68



# 5
This record from Alexandria via LeMat-Bulk describes a relaxed VTeI2O crystal. The functional is GGA+U.

Cell and atoms, written as POSCAR:
```
VTeI2O
1.0
-2.865 -4.457 0.382
4.438 -2.889 -0.429
0.550 0.085 5.120
I Te O V
2 1 1 1
Direct
0.500 0.000 0.000
0.000 0.500 0.000
0.000 0.000 0.500
0.500 0.500 0.500
0.000 0.000 0.000
```

Computed properties:
V in Å³ per atom: 29.08
Size of the total moment in μB/atom: 0.00
Energy relative to the lowest polymorph listed for this composition in eV/atom: 1.244
Uncorrected energy in eV per atom: -2.70



# 6
This record from Alexandria via LeMat-Bulk describes a relaxed VTeIO2 crystal. The functional is GGA+U.

Cell and atoms, written as POSCAR:
```
VTeIO2
1.0
4.107 0.000 0.000
0.000 4.107 0.000
0.000 0.000 7.430
V O I Te
1 2 1 1
Direct
0.500 0.500 0.500
0.500 0.000 0.000
0.000 0.500 0.000
0.000 0.000 0.500
0.000 0.000 0.000
```

Computed properties:
V in Å³ per atom: 25.07
Size of the total moment in μB/atom: 0.34
Energy relative to the lowest polymorph listed for this composition in eV/atom: 0.496
Uncorrected energy in eV per atom: -4.23